Compound: SrNiP2
Source: the Alexandria database
Functional: PBE-GGA
Structure: optimized geometry

The structure belongs to space group P4/mmm (No. 123); the cell edges are 4.2695, 4.2695 and 4.0312 Å and the angles 90.00°, 90.00° and 90.00°. The asymmetric unit holds Sr at (0.0000, 0.0000, 0.0000), Ni at (0.5000, 0.5000, 0.0000) and P at (0.0000, 0.5000, 0.5000).

The total energy comes out at -17.9 eV per cell. The calculation puts the formation energy at 0.10 eV/atom. As for the density of states at the Fermi level: 4.3 states/eV/cell.


Compound: Sr4MgBr
Source: the Alexandria database
Functional: PBE-GGA
Structure: optimized geometry

The structure belongs to space group F-43m (No. 216); the cell edges are 10.7250, 10.7250 and 10.7250 Å and the angles 90.00°, 90.00° and 90.00°. The asymmetric unit holds Sr at (0.1241, 0.1241, 0.3759), Mg at (0.2500, 0.2500, 0.7500) and Br at (0.0000, 0.0000, 0.0000).

The total energy comes out at -37.0 eV per cell. For the raw formation energy, the calculation gives 0.124 eV per atom. As for the density of states at the Fermi level: 33.2 states/eV/cell.


Compound: DyCdInAg
Source: the Alexandria database
Functional: PBE-GGA
Structure: optimized geometry

The structure belongs to space group F-43m (No. 216); the cell edges are 7.1023, 7.1023 and 7.1023 Å and the angles 90.00°, 90.00° and 90.00°. The asymmetric unit holds Dy at (0.0000, 0.0000, 0.0000), Cd at (0.2500, 0.2500, 0.7500), In at (0.0000, 0.0000, 0.5000) and Ag at (0.2500, 0.2500, 0.2500).

The total energy comes out at -49.1 eV per cell. The calculation puts the formation energy at -0.29 eV/atom. As for the density of states at the Fermi level: 9.6 states/eV/cell.


Compound: MnBe4Br
Source: the Alexandria database
Functional: PBE-GGA
Structure: optimized geometry

The structure belongs to space group F-43m (No. 216); the cell edges are 6.2747, 6.2747 and 6.2747 Å and the angles 90.00°, 90.00° and 90.00°. The asymmetric unit holds Mn at (0.0000, 0.0000, 0.0000), Be at (0.1284, 0.1284, 0.3716) and Br at (0.2500, 0.2500, 0.7500).

The total energy comes out at -89.7 eV per cell. For the raw formation energy, the calculation gives 0.554 eV per atom. As for the density of states at the Fermi level: 6.7 states/eV/cell.


Compound: CrCuAsBr2
Source: the Alexandria database
Functional: PBE-GGA
Structure: optimized geometry

The structure belongs to space group P4/mmm (No. 123); the cell edges are 5.0954, 5.0954 and 4.7983 Å and the angles 90.00°, 90.00° and 90.00°. The asymmetric unit holds Cr at (0.0000, 0.0000, 0.0000), Cu at (0.5000, 0.5000, 0.5000), As at (0.0000, 0.0000, 0.5000) and Br at (0.0000, 0.5000, 0.0000).

The total energy comes out at -19.7 eV per cell. For the raw formation energy, the calculation gives 0.409 eV per atom. As for the density of states at the Fermi level: 4.0 states/eV/cell.


Compound: Mg2RhSe
Source: the Alexandria database
Functional: PBE-GGA
Structure: optimized geometry

The structure belongs to space group I-4m2 (No. 119); the cell edges are 3.8699, 3.8699 and 9.3582 Å and the angles 90.00°, 90.00° and 90.00°. The asymmetric unit holds Mg at (0.0000, 0.0000, 0.0000), Mg at (0.0000, 0.5000, 0.2500), Rh at (0.0000, 0.5000, 0.7500) and Se at (0.0000, 0.0000, 0.5000).

The total energy comes out at -31.3 eV per cell. For the raw formation energy, the calculation gives -0.401 eV per atom. As for the density of states at the Fermi level: 4.3 states/eV/cell.


Compound: ZnGaC2
Source: the Alexandria database
Functional: PBE-GGA
Structure: optimized geometry

The structure belongs to space group I-42d (No. 122); the cell edges are 4.1629, 4.1629 and 11.3932 Å and the angles 90.00°, 90.00° and 90.00°. The asymmetric unit holds Zn at (0.0000, 0.0000, 0.0000), Ga at (0.0000, 0.0000, 0.5000) and C at (0.2464, 0.2500, 0.6250).

The total energy comes out at -69.9 eV per cell. The calculation puts the formation energy at 1.32 eV/atom. As for the density of states at the Fermi level: 5.9 states/eV/cell.


Compound: SmThCuIr
Source: the Alexandria database
Functional: PBE-GGA
Structure: optimized geometry

The structure belongs to space group Amm2 (No. 38); the cell edges are 4.1213, 3.9466 and 11.5676 Å and the angles 90.00°, 90.00° and 90.00°. The asymmetric unit holds Sm at (0.0000, 0.0000, 0.0000), Th at (0.5000, 0.0000, 0.7266), Cu at (0.5000, 0.0000, 0.4307) and Ir at (0.0000, 0.0000, 0.2645).

The total energy comes out at -55.0 eV per cell. The calculation puts the formation energy at -0.60 eV/atom. As for the density of states at the Fermi level: 6.1 states/eV/cell.


Compound: Zn2CuBr
Source: the Alexandria database
Functional: PBE-GGA
Structure: optimized geometry

The structure belongs to space group R-3m (No. 166, hexagonal axes); the cell edges are 3.4820, 3.4820 and 21.8275 Å and the angles 90.00°, 90.00° and 120.00°. The asymmetric unit holds Zn at (0.0000, 0.0000, 0.2393), Cu at (0.0000, 0.0000, 0.5000) and Br at (0.0000, 0.0000, 0.0000).

The total energy comes out at -24.5 eV per cell. For the raw formation energy, the calculation gives 0.040 eV per atom. As for the density of states at the Fermi level: 3.1 states/eV/cell.


Compound: Sc3CrPb
Source: the Alexandria database
Functional: PBE-GGA
Structure: optimized geometry

The structure belongs to space group Pm-3m (No. 221); the cell edges are 4.8868, 4.8868 and 4.8868 Å and the angles 90.00°, 90.00° and 90.00°. The asymmetric unit holds Sc at (0.0000, 0.0000, 0.5000), Cr at (0.0000, 0.0000, 0.0000) and Pb at (0.5000, 0.5000, 0.5000).

The total energy comes out at -31.0 eV per cell. The calculation puts the formation energy at 0.26 eV/atom. As for the density of states at the Fermi level: 6.0 states/eV/cell.


Compound: Cs4Ce3NdSe8
Source: the Alexandria database
Functional: PBE-GGA
Structure: optimized geometry

The structure belongs to space group R-3m (No. 166, hexagonal axes); the cell edges are 8.8649, 8.8649 and 25.1317 Å and the angles 90.00°, 90.00° and 120.00°. The asymmetric unit holds Cs at (0.0000, 0.0000, 0.0000), Cs at (0.0000, 0.5000, 0.0000), Ce at (0.0000, 0.5000, 0.5000), Nd at (0.0000, 0.0000, 0.5000), Se at (0.0000, 0.0000, 0.2296) and Se at (0.0004, 0.5002, 0.2298).

The total energy comes out at -242.3 eV per cell. For the raw formation energy, the calculation gives -1.682 eV per atom. As for the density of states at the Fermi level: 56.6 states/eV/cell.


Compound: BeAsSBr2
Source: the Alexandria database
Functional: PBE-GGA
Structure: optimized geometry

The structure belongs to space group P4/mmm (No. 123); the cell edges are 5.1992, 5.1992 and 4.8862 Å and the angles 90.00°, 90.00° and 90.00°. The asymmetric unit holds Be at (0.0000, 0.0000, 0.0000), As at (0.5000, 0.5000, 0.0000), S at (0.5000, 0.5000, 0.5000) and Br at (0.0000, 0.5000, 0.5000).

The total energy comes out at -10.9 eV per cell. For the raw formation energy, the calculation gives 0.983 eV per atom. As for the density of states at the Fermi level: 5.1 states/eV/cell.


Compound: K2MoS4
Source: the Alexandria database
Functional: PBE-GGA
Structure: optimized geometry

The structure belongs to space group I4/mmm (No. 139); the cell edges are 4.7573, 4.7573 and 16.0432 Å and the angles 90.00°, 90.00° and 90.00°. The asymmetric unit holds K at (0.0000, 0.0000, 0.1487), Mo at (0.0000, 0.0000, 0.5000), S at (0.0000, 0.0000, 0.3511) and S at (0.0000, 0.5000, 0.0000).

The total energy comes out at -68.1 eV per cell. For the raw formation energy, the calculation gives -0.645 eV per atom. As for the density of states at the Fermi level: 14.9 states/eV/cell.


Compound: Tl3Cd2In4
Source: the Alexandria database
Functional: PBE-GGA
Structure: optimized geometry

The structure belongs to space group C2/m (No. 12); the cell edges are 9.9348, 5.6006 and 9.5729 Å and the angles 90.00°, 108.23° and 90.00°. The asymmetric unit holds Tl at (0.0000, 0.0000, 0.0000), Tl at (0.1486, 0.5000, 0.3875), Cd at (0.2053, 0.5000, 0.7292), In at (0.0311, 0.0000, 0.6694) and In at (0.1755, 0.5000, 0.0470).

The total energy comes out at -38.8 eV per cell. The calculation puts the formation energy at 0.05 eV/atom. As for the density of states at the Fermi level: 6.7 states/eV/cell.


Compound: Li5Mg3Tl3
Source: the Alexandria database
Functional: PBE-GGA
Structure: optimized geometry

The structure belongs to space group P-62m (No. 189); the cell edges are 8.5549, 8.5549 and 4.5063 Å and the angles 90.00°, 90.00° and 120.00°. The asymmetric unit holds Li at (0.0000, 0.6225, 0.0000), Li at (0.3333, 0.6667, 0.0000), Mg at (0.0000, 0.2157, 0.0000) and Tl at (0.0000, 0.4440, 0.5000).

The total energy comes out at -19.9 eV per cell. The calculation puts the formation energy at 0.14 eV/atom. As for the density of states at the Fermi level: 4.4 states/eV/cell.


Compound: Dy4Sb2C
Source: the Alexandria database
Functional: PBE-GGA
Structure: optimized geometry

The structure belongs to space group P2_1/m (No. 11); the cell edges are 6.9773, 6.5907 and 8.6507 Å and the angles 90.00°, 108.30° and 90.00°. The asymmetric unit holds Dy at (0.0061, 0.0002, 0.2373), Dy at (0.3994, 0.2500, 0.5746), Dy at (0.4182, 0.2500, 0.1313), Sb at (0.2255, 0.7500, 0.5538), Sb at (0.2724, 0.7500, 0.0681) and C at (0.2300, 0.2500, 0.3042).

The total energy comes out at -81.0 eV per cell. For the raw formation energy, the calculation gives -0.662 eV per atom. As for the density of states at the Fermi level: 6.7 states/eV/cell.


Compound: RhI3Br
Source: the Alexandria database
Functional: PBE-GGA
Structure: optimized geometry

The structure belongs to space group Pm-3m (No. 221); the cell edges are 5.8774, 5.8774 and 5.8774 Å and the angles 90.00°, 90.00° and 90.00°. The asymmetric unit holds Rh at (0.0000, 0.0000, 0.0000), I at (0.0000, 0.5000, 0.5000) and Br at (0.5000, 0.5000, 0.5000).

The total energy comes out at -8.3 eV per cell. For the raw formation energy, the calculation gives 1.072 eV per atom. As for the density of states at the Fermi level: 14.4 states/eV/cell.


Compound: ThAgSn2
Source: the Alexandria database
Functional: PBE-GGA
Structure: optimized geometry

The structure belongs to space group I4/mmm (No. 139); the cell edges are 4.5444, 4.5444 and 19.7814 Å and the angles 90.00°, 90.00° and 90.00°. The asymmetric unit holds Th at (0.0000, 0.0000, 0.1195), Ag at (0.0000, 0.5000, 0.2500), Sn at (0.0000, 0.0000, 0.3430) and Sn at (0.0000, 0.5000, 0.0000).

The total energy comes out at -79.8 eV per cell. The calculation puts the formation energy at -0.42 eV/atom. As for the density of states at the Fermi level: 7.5 states/eV/cell.


Compound: Sc2CoSe
Source: the Alexandria database
Functional: PBE-GGA
Structure: optimized geometry

The structure belongs to space group P4mm (No. 99); the cell edges are 3.7568, 3.7568 and 5.5460 Å and the angles 90.00°, 90.00° and 90.00°. The asymmetric unit holds Sc at (0.0000, 0.0000, 0.0000), Sc at (0.5000, 0.5000, 0.3847), Co at (0.5000, 0.5000, 0.9754) and Se at (0.0000, 0.0000, 0.5067).

The total energy comes out at -26.1 eV per cell. For the raw formation energy, the calculation gives -0.702 eV per atom. As for the density of states at the Fermi level: 2.8 states/eV/cell.


Compound: Na2Ho2TcO6
Source: the Alexandria database
Functional: PBE-GGA
Structure: optimized geometry

The structure belongs to space group C2/m (No. 12); the cell edges are 5.7402, 9.8916 and 5.8787 Å and the angles 90.00°, 105.81° and 90.00°. The asymmetric unit holds Na at (0.0000, 0.1518, 0.0000), Ho at (0.0000, 0.3359, 0.5000), Tc at (0.0000, 0.0000, 0.5000), O at (0.2053, 0.1584, 0.6938) and O at (0.2453, 0.0000, 0.3015).

The total energy comes out at -156.4 eV per cell. For the raw formation energy, the calculation gives -2.389 eV per atom.